# CaTbHo2Sb4, relaxed, DFT PBE
data_CaTbHo2Sb4
_cell_length_a 8.818
_cell_length_b 12.490
_cell_length_c 8.822
_cell_angle_alpha 90.00
_cell_angle_beta 90.00
_cell_angle_gamma 90.00
_space_group_name_H-M_alt 'F m m 2'
_space_group_IT_number 42
_space_group_name_Hall 'F 2 -2'
loop_
_atom_site_label
_atom_site_fract_x
_atom_site_fract_y
_atom_site_fract_z
_atom_site_occupancy
Ca1 0.000 0.000 0.000 1
Tb1 0.000 0.000 0.500 1
Ho1 0.250 0.250 0.251 1
Sb1 0.000 0.246 0.501 1
Sb2 0.250 0.000 0.250 1
# ρ (Mg/m³): 6.94
# Total magnetization (μB per formula unit): 0.000
# Raw formation energy (eV per atom): -1.021